1.
Density functional theory data (PBE) for an optimized crystal structure of Cs2AcBSe4.

The space group is Fddd (No. 70, origin choice 2) and the conventional cell measures 6.505, 15.464 and 26.770 Å, with angles of 90.00, 90.00 and 90.00 degrees. The inequivalent atoms are Cs at (0.125, 0.125, 0.306), Ac at (0.125, 0.125, 0.125), B at (0.125, 0.125, 0.625) and Se at (0.036, 0.288, 0.826).

The value obtained for the formation energy without anion corrections is -7.6 eV/f.u.


2.
Density functional theory data (PBE) for an optimized crystal structure of Ac3CuB2N6.

The space group is P-3m1 (No. 164) and the conventional cell measures 5.5610, 5.5610 and 6.5831 Å, with angles of 90.00, 90.00 and 120.00 degrees. The inequivalent atoms are Ac at (0.0000, 0.0000, 0.0000), Ac at (0.3333, 0.6667, 0.6736), Cu at (0.0000, 0.0000, 0.5000), B at (0.3333, 0.6667, 0.2714) and N at (0.1809, 0.3618, 0.2841).

The value obtained for the formation energy without anion corrections is -8.3 eV/f.u.


Q: Which value of formation energy without anion corrections does entry 1 give?
A: -7.6 eV/f.u.


Q: formation energy without anion corrections of number 1 (Cs2AcBSe4)?
A: -7.6 eV/f.u.


Q: Look up the formation energy without anion corrections of the second one.
A: -8.3 eV/f.u.


Q: The highest formation energy without anion corrections belongs to which entry?
A: Cs2AcBSe4